DFT (PBE) results for Tb14HoAl after structural relaxation.

Cell and atoms, written as POSCAR:
```
Tb14HoAl
1.0
6.895 0.012 0.000
-1.806 6.654 0.000
0.000 0.000 10.824
Ho Tb Al
1 14 1
Direct
0.388 0.612 0.000
0.155 0.845 0.781
0.363 0.637 0.500
0.081 0.330 0.764
0.864 0.547 0.000
0.453 0.136 0.000
0.891 0.708 0.500
0.814 0.186 0.500
0.670 0.919 0.236
0.081 0.330 0.236
0.591 0.409 0.726
0.155 0.845 0.219
0.591 0.409 0.274
0.292 0.109 0.500
0.670 0.919 0.764
0.941 0.059 0.000
```

Summary:
formation energy from the elements: 0.003 eV per atom
VASP energy: -73.1 eV per cell
crystal system: orthorhombic
spin magnetization: 0.000 μB per cell

---

DFT (PBE) results for Y2Cd2P after structural relaxation.

Cell and atoms, written as POSCAR:
```
Y2Cd2P
1.0
-6.084 -3.463 1.928
3.923 -5.764 2.026
0.363 1.763 4.313
Y Cd P
4 4 2
Direct
0.167 0.667 0.500
0.833 0.333 0.500
0.667 0.833 0.500
0.333 0.167 0.500
0.636 0.136 0.000
0.364 0.864 0.000
0.136 0.364 0.000
0.864 0.636 0.000
0.000 0.000 0.000
0.500 0.500 0.000
```

Summary:
offset from the most stable computed form: 17.5 kJ per mole of atoms
formation energy from the elements: -0.264 eV per atom
VASP energy: -43.0 eV per cell
crystal system: tetragonal
spin magnetization: 0.000 μB per cell